VASP calculation (PBE) on NaNi3Sn after structural relaxation.

Cell and atoms, written as POSCAR:
```
NaNi3Sn
1.0
4.7730 0.0000 0.0000
0.0000 4.7730 0.0000
0.0000 0.0000 4.7730
Na Ni Sn
1 3 1
Direct
0.0000 0.0000 0.0000 Na
0.0000 0.5000 0.5000 Ni
0.5000 0.0000 0.5000 Ni
0.5000 0.5000 0.0000 Ni
0.5000 0.5000 0.5000 Sn
```

Properties
The total energy is -3.79 eV/atom. The value obtained for the formation energy is 0.744 eV/atom. As for the relative energy among the computed polymorphs: 0 meV per atom. As for the space-group type: Pm-3m.

VASP calculation (PBE) on Ce2SmHf after structural relaxation.

Cell and atoms, written as POSCAR:
```
Ce2SmHf
1.0
0.0000 3.8334 3.8334
3.8334 0.0000 3.8334
3.8334 3.8334 0.0000
Ce Sm Hf
2 1 1
Direct
0.2500 0.2500 0.2500 Ce
0.7500 0.7500 0.7500 Ce
0.0000 0.0000 0.0000 Sm
0.5000 0.5000 0.5000 Hf
```

Properties
The total energy is -6.31 eV/atom. The value obtained for the formation energy is 0.322 eV/atom. As for the relative energy among the computed polymorphs: 176 meV per atom. As for the space-group type: Fm-3m.

VASP calculation (PBE) on AgPd6Au3 after structural relaxation.

Cell and atoms, written as POSCAR:
```
AgPd6Au3
1.0
7.5134 0.0000 0.0000
0.0000 4.7206 0.0000
-3.1337 0.0000 9.2663
Ag Pd Au
2 12 6
Direct
0.1004 0.2500 0.0657 Ag
0.8996 0.7500 0.9343 Ag
0.1007 0.2500 0.5648 Pd
0.1048 0.7500 0.2374 Pd
0.3015 0.2500 0.3665 Pd
0.3050 0.7500 0.0360 Pd
0.4979 0.2500 0.1669 Pd
0.4982 0.7500 0.3326 Pd
0.5018 0.2500 0.6674 Pd
0.5021 0.7500 0.8331 Pd
0.6950 0.2500 0.9640 Pd
0.6985 0.7500 0.6335 Pd
0.8952 0.2500 0.7626 Pd
0.8993 0.7500 0.4352 Pd
0.0976 0.7500 0.7337 Au
0.3004 0.2500 0.8656 Au
0.3033 0.7500 0.5340 Au
0.6967 0.2500 0.4660 Au
0.6996 0.7500 0.1344 Au
0.9024 0.2500 0.2663 Au
```

Properties
The total energy is -4.42 eV/atom. The value obtained for the formation energy is -0.038 eV/atom. As for the relative energy among the computed polymorphs: 0 meV per atom. As for the space-group type: P2_1/m.

VASP calculation (PBE) on TiHRu2Pt after structural relaxation.

Cell and atoms, written as POSCAR:
```
TiHRu2Pt
1.0
3.9363 0.0000 0.0000
0.0000 3.9363 0.0000
0.0000 0.0000 3.9149
Ti H Ru Pt
1 1 2 1
Direct
0.0000 0.0000 0.0000 Ti
0.5000 0.5000 0.5000 H
0.0000 0.5000 0.5000 Ru
0.5000 0.0000 0.5000 Ru
0.5000 0.5000 0.0000 Pt
```

Properties
The total energy is -7.54 eV/atom. As for the relative energy among the computed polymorphs: 62 meV per atom. As for the space-group type: P4/mmm.

VASP calculation (PBE) on HfNb2TlAs after structural relaxation.

Cell and atoms, written as POSCAR:
```
HfNb2TlAs
1.0
4.7799 0.0000 0.0000
0.0000 4.7799 0.0000
0.0000 0.0000 5.0181
Hf Nb Tl As
1 2 1 1
Direct
0.0000 0.0000 0.0000 Hf
0.0000 0.5000 0.5000 Nb
0.5000 0.0000 0.5000 Nb
0.5000 0.5000 0.0000 Tl
0.0000 0.0000 0.5000 As
```

Properties
The total energy is -6.95 eV/atom. The value obtained for the formation energy is 0.476 eV/atom. As for the space-group type: P4/mmm.

VASP calculation (PBE) on Al2VAu after structural relaxation.

Cell and atoms, written as POSCAR:
```
Al2VAu
1.0
-3.5487 3.5487 2.7846
3.5487 -3.5487 2.7846
3.5487 3.5487 -2.7846
Al V Au
4 2 2
Direct
0.1080 0.6250 0.9830 Al
0.3750 0.3580 0.4830 Al
0.6420 0.1250 0.0170 Al
0.8750 0.8920 0.5170 Al
0.2500 0.7500 0.5000 V
0.5000 0.5000 0.0000 V
0.0000 0.0000 0.0000 Au
0.7500 0.2500 0.5000 Au
```

Properties
The total energy is -4.83 eV/atom. The value obtained for the formation energy is 0.139 eV/atom. As for the space-group type: I-42d.

VASP calculation (PBE) on RbNa after structural relaxation.

Cell and atoms, written as POSCAR:
```
RbNa
1.0
7.7225 0.0000 0.0000
0.0000 10.5781 0.0000
0.0000 0.0000 12.1160
Rb Na
8 8
Direct
0.1177 0.0693 0.0842 Rb
0.1188 0.2640 0.7590 Rb
0.3812 0.7360 0.2590 Rb
0.3823 0.9307 0.5841 Rb
0.6177 0.4307 0.9158 Rb
0.6188 0.2360 0.2410 Rb
0.8812 0.7640 0.7410 Rb
0.8823 0.5693 0.4158 Rb
0.1041 0.4680 0.0906 Na
0.1713 0.2594 0.4100 Na
0.3287 0.7406 0.9100 Na
0.3959 0.5320 0.5906 Na
0.6041 0.0320 0.9094 Na
0.6713 0.2406 0.5900 Na
0.8287 0.7594 0.0900 Na
0.8959 0.9680 0.4094 Na
```

Properties
The total energy is -1.09 eV/atom. The value obtained for the formation energy is 0.049 eV/atom. As for the space-group type: P2_12_12_1.

VASP calculation (PBE) on Sn4As6P after structural relaxation.

Cell and atoms, written as POSCAR:
```
Sn4As6P
1.0
6.8344 -3.6628 0.0000
6.8344 3.6628 0.0000
-5.2755 0.0000 12.0191
Sn As P
8 12 2
Direct
0.0669 0.9331 0.5000 Sn
0.2028 0.4459 0.0061 Sn
0.3821 0.8702 0.8281 Sn
0.4459 0.2028 0.5061 Sn
0.7280 0.8898 0.1961 Sn
0.8702 0.3821 0.3281 Sn
0.8898 0.7280 0.6961 Sn
0.9331 0.0669 0.0000 Sn
0.0615 0.5784 0.5097 As
0.1405 0.1745 0.7022 As
0.1598 0.6069 0.2224 As
0.1745 0.1405 0.2022 As
0.2025 0.6915 0.8853 As
0.4260 0.8407 0.4517 As
0.5784 0.0615 0.0097 As
0.5945 0.6097 0.1691 As
0.6069 0.1598 0.7224 As
0.6097 0.5945 0.6691 As
0.6915 0.2025 0.3853 As
0.8407 0.4260 0.9517 As
0.3091 0.8245 0.2603 P
0.8245 0.3091 0.7603 P
```

Properties
The total energy is -4.45 eV/atom. The value obtained for the formation energy is 0.038 eV/atom. As for the space-group type: Cc.